Run w
YBeCd, optimized geometry, DFT PBE; calculated density = 5.61 g/cm³; N(E_F) = 2.3 states/eV/cell; total magnetic moment = 0.00 μB per formula unit; symmetry = P-6m2 (187)
1.0
4.463 0.000 0.000
-2.232 3.865 0.000
0.000 0.000 3.606
Be Cd Y
1 1 1
Direct
0.667 0.333 0.500 Be
0.333 0.667 0.500 Cd
0.000 0.000 0.000 Y

Run x
YBeCd, optimized geometry, DFT PBE; calculated density = 5.82 g/cm³; N(E_F) = 2.1 states/eV/cell; total magnetic moment = 0.02 μB per formula unit; symmetry = I4mm (107)
1.0
6.065 -0.060 0.065
5.214 3.099 0.064
0.851 0.230 3.151
Y Cd Be
1 1 1
Direct
0.348 0.348 0.652 Y
0.637 0.637 0.363 Cd
0.015 0.015 0.985 Be

Run y
YBeCd, optimized geometry, DFT PBE; calculated density = 5.34 g/cm³; N(E_F) = 4.2 states/eV/cell; total magnetic moment = 0.00 μB per formula unit; symmetry = F-43m (216)
1.0
4.522 0.000 0.000
2.261 3.916 0.000
2.261 1.305 3.692
Y Cd Be
1 1 1
Direct
0.500 0.500 0.500 Y
0.000 0.000 0.000 Cd
0.750 0.750 0.750 Be

What should be chosen as the least stable of them? Choose run x.

Run w
BeZnCd2, optimized geometry, DFT PBE; calculated density = 7.26 g/cm³; N(E_F) = 1.4 states/eV/cell; total magnetic moment = 0.00 μB per formula unit; symmetry = I4/mmm (139)
1.0
4.859 -0.107 0.000
1.287 4.686 0.000
-3.073 -2.290 2.989
Zn Cd Be
1 2 1
Direct
0.250 0.750 0.500 Zn
0.500 0.500 0.000 Cd
0.000 0.000 0.000 Cd
0.750 0.250 0.500 Be

Run x
BeZnCd2, optimized geometry, DFT PBE; calculated density = 7.00 g/cm³; N(E_F) = 1.0 states/eV/cell; total magnetic moment = 0.00 μB per formula unit; symmetry = Imm2 (44)
1.0
-0.542 2.199 -6.007
-5.023 0.660 -3.943
3.376 1.056 5.357
Cd Zn Be
2 1 1
Direct
0.755 0.255 0.500 Cd
0.053 0.053 0.000 Cd
0.434 0.434 0.000 Zn
0.258 0.758 0.500 Be

Run y
BeZnCd2, optimized geometry, DFT PBE; calculated density = 6.90 g/cm³; N(E_F) = 1.2 states/eV/cell; total magnetic moment = 0.00 μB per formula unit; symmetry = P2/m (10)
1.0
4.518 0.000 0.000
0.000 3.121 -0.023
0.000 -0.622 5.112
Cd Zn Be
2 1 1
Direct
0.000 0.509 0.507 Cd
0.000 0.991 0.993 Cd
0.500 0.250 0.250 Zn
0.500 0.750 0.750 Be

What should be chosen as the least stable of them? Choose run y.